Entry 1:
Pm3SmNi2 after structural relaxation. Source: Alexandria via LeMat-Bulk, functional PBE.

Unit cell a=3.9584 b=8.4801 c=10.0812 alpha=77.82 beta=78.68 gamma=76.50
Positions (direct):
Pm 0.1547 0.9390 0.7517
Pm 0.8453 0.0610 0.2483
Pm 0.4178 0.2236 0.9408
Pm 0.5822 0.7764 0.0592
Pm 0.5819 0.2780 0.5582
Pm 0.4181 0.7220 0.4418
Sm 0.8447 0.5616 0.7489
Sm 0.1553 0.4384 0.2511
Ni 0.2323 0.5842 0.9511
Ni 0.7677 0.4158 0.0489
Ni 0.7678 0.9153 0.5492
Ni 0.2322 0.0847 0.4508

Properties
Space-group type: C2/m
Formation energy from the elements, eV/atom: -0.2262
Uncorrected energy, eV per atom: -5.3152
Total magnetic moment, μB per formula unit: 0.000

=====

Entry 2:
Pm3SmNi after structural relaxation. Source: Alexandria via LeMat-Bulk, functional PBE.

Unit cell a=3.7362 b=6.3952 c=12.9310 alpha=86.87 beta=81.69 gamma=73.02
Positions (direct):
Pm 0.4417 0.9659 0.1508
Pm 0.7708 0.7002 0.7581
Pm 0.1028 0.1614 0.6329
Pm 0.9903 0.1088 0.9106
Pm 0.7769 0.0547 0.3915
Pm 0.4350 0.6139 0.5160
Sm 0.1099 0.5060 0.2742
Sm 0.2217 0.5579 0.9987
Ni 0.7656 0.3401 0.1287
Ni 0.4460 0.3280 0.7800

Properties
Space-group type: Cm
Energy above the most stable polymorph in this dataset, meV per atom: 0
Formation energy from the elements, eV/atom: -0.1275
Uncorrected energy, eV per atom: -5.0780
Total magnetic moment, μB per formula unit: 0.000

=====

Entry 3:
PmSm2Ni after structural relaxation. Source: Alexandria via LeMat-Bulk, functional PBE.

Unit cell a=3.8572 b=3.8572 c=9.4367 alpha=78.21 beta=78.21 gamma=60.00
Positions (direct):
Pm 0.5011 0.5011 0.4968
Sm 0.0591 0.0591 0.8226
Sm 0.2738 0.2738 0.1785
Ni 0.6659 0.6659 0.0022

Properties
Space-group type: R3m
Energy above the most stable polymorph in this dataset, meV per atom: 123
Formation energy from the elements, eV/atom: -0.0698
Uncorrected energy, eV per atom: -5.0624
Total magnetic moment, μB per formula unit: 0.000

=====

Entry 4:
PmSm6Ni3 after structural relaxation. Source: Alexandria via LeMat-Bulk, functional PBE.

Unit cell a=7.1347 b=8.7019 c=8.7019 alpha=98.74 beta=90.00 gamma=90.00
Positions (direct):
Pm 0.0457 0.3230 0.6770
Pm 0.5457 0.6770 0.3230
Sm 0.1714 0.7067 0.6291
Sm 0.6714 0.6291 0.7067
Sm 0.3194 0.5827 0.9671
Sm 0.8194 0.9671 0.5827
Sm 0.1610 0.0328 0.9672
Sm 0.5087 0.2277 0.7723
Sm 0.0087 0.7723 0.2277
Sm 0.6610 0.9672 0.0328
Sm 0.3194 0.0329 0.4173
Sm 0.8194 0.4173 0.0329
Sm 0.1714 0.3709 0.2933
Sm 0.6714 0.2933 0.3709
Ni 0.4551 0.9115 0.7070
Ni 0.9551 0.7070 0.9115
Ni 0.3783 0.4218 0.5782
Ni 0.8783 0.5782 0.4218
Ni 0.9551 0.0885 0.2930
Ni 0.4551 0.2930 0.0885

Properties
Space-group type: Cmc2_1
Formation energy from the elements, eV/atom: -0.1693
Uncorrected energy, eV per atom: -5.2102
Total magnetic moment, μB per formula unit: 0.000

=====

Entry 5:
Pm2SmNi after structural relaxation. Source: Alexandria via LeMat-Bulk, functional PBE.

Unit cell a=6.4490 b=7.0008 c=9.9233 alpha=90.00 beta=90.00 gamma=90.00
Positions (direct):
Pm 0.1747 0.6773 0.0666
Pm 0.3253 0.1773 0.4334
Pm 0.8253 0.3227 0.5666
Pm 0.6747 0.8227 0.9334
Pm 0.8253 0.3227 0.9334
Pm 0.6747 0.8227 0.5666
Pm 0.1747 0.6773 0.4334
Pm 0.3253 0.1773 0.0666
Sm 0.6451 0.5344 0.2500
Sm 0.8549 0.0344 0.2500
Sm 0.3549 0.4656 0.7500
Sm 0.1451 0.9656 0.7500
Ni 0.0640 0.3871 0.2500
Ni 0.4360 0.8871 0.2500
Ni 0.9360 0.6129 0.7500
Ni 0.5640 0.1129 0.7500

Properties
Space-group type: Pnma
Energy above the most stable polymorph in this dataset, meV per atom: 0
Formation energy from the elements, eV/atom: -0.1885
Uncorrected energy, eV per atom: -5.1889
Total magnetic moment, μB per formula unit: 0.000

=====

Entry 6:
PmSmNi after structural relaxation. Source: Alexandria via LeMat-Bulk, functional PBE.

Unit cell a=3.9176 b=3.9176 c=6.4216 alpha=90.00 beta=90.00 gamma=120.00
Positions (direct):
Ni 0.6667 0.3333 0.3322
Sm 0.0000 0.0000 0.0858
Pm 0.3333 0.6667 0.5819

Properties
Space-group type: P3m1
Energy above the most stable polymorph in this dataset, meV per atom: 108
Formation energy from the elements, eV/atom: -0.1090
Uncorrected energy, eV per atom: -5.1927
Total magnetic moment, μB per formula unit: 0.000